Below is crystalline LiFeF3 at its relaxed geometry, with properties calculated at the GGA+U level.

Results
As for the energy above the most stable polymorph in this dataset: 9 kJ/mol of formula units.

Cell: 5.084 5.819 8.252 Å, 90.00 90.00 90.00°
Fractional positions:
1 F 0.316 0.314 0.068
2 Fe 0.500 0.000 0.000
3 F 0.316 0.314 0.432
4 F 0.184 0.814 0.432
5 F 0.816 0.186 0.932
6 Li 0.035 0.142 0.750
7 Li 0.965 0.858 0.250
8 F 0.852 0.526 0.250
9 F 0.648 0.026 0.250
10 F 0.684 0.686 0.568
11 F 0.184 0.814 0.068
12 Fe 0.000 0.500 0.500
13 Fe 0.000 0.500 0.000
14 F 0.816 0.186 0.568
15 Li 0.535 0.358 0.250
16 Li 0.465 0.642 0.750
17 Fe 0.500 0.000 0.500
18 F 0.148 0.474 0.750
19 F 0.352 0.974 0.750
20 F 0.684 0.686 0.932